Below is a geometry-optimized La3Sm2Tl4 structure, with properties calculated at the PBE level.

**Crystal system**: monoclinic
**Space group**: C2/m (12)
**Total DFT energy (no corrections)**: -0.149 hartree per atom
**ΔE_f**: -0.304 eV per atom
**ΔE to the lowest computed polymorph**: 0.030 eV per atom

Cell: 5.0981 6.8014 10.4393 Å, 118.59 90.00 112.01°
Sites, in units of the cell vectors:
Tl 0.3088 0.6177 0.9659
Sm 0.3528 0.7055 0.6875
Sm 0.6472 0.2945 0.3125
Tl 0.9393 0.8787 0.6009
La 0.3562 0.7123 0.3094
Tl 0.0607 0.1213 0.3991
La 0.0000 0.0000 0.0000
Tl 0.6912 0.3823 0.0341
La 0.6438 0.2877 0.6906


Below is a geometry-optimized CrOs3 structure, with properties calculated at the PBE level.

**Crystal system**: orthorhombic
**Space group**: Imm2 (44)
**Total DFT energy (no corrections)**: -0.399 hartree per atom
**ΔE_f**: -0.016 eV per atom

Cell: 4.7016 5.0837 2.7236 Å, 74.46 90.00 117.54°
Sites, in units of the cell vectors:
Os 0.0809 0.4962 0.2519
Cr 0.0026 0.0000 0.0000
Os 0.4985 0.0000 0.5000
Os 0.5847 0.5038 0.7481


Below is a geometry-optimized MnMoN2 structure, with properties calculated at the PBE level.

**Crystal system**: tetragonal
**Energy relative to the elements, uncorrected**: -0.21 eV/atom
**Space group**: I-42d (122)
**Total DFT energy (no corrections)**: -0.345 hartree per atom

Cell: 4.5434 4.5434 5.6319 Å, 66.21 66.21 90.00°
Sites, in units of the cell vectors:
N 0.1242 0.6250 0.2500
N 0.3750 0.3742 0.7500
N 0.8750 0.8758 0.7500
Mo 0.7500 0.2500 0.5000
N 0.6258 0.1250 0.2500
Mn 0.2500 0.7500 0.5000
Mn 0.5000 0.5000 0.0000
Mo 0.0000 0.0000 0.0000


Below is a geometry-optimized LaTl2Ag structure, with properties calculated at the PBE level.

**Crystal system**: monoclinic
**Space group**: P2/m (10)
**Total DFT energy (no corrections)**: -0.123 hartree per atom
**ΔE_f**: -0.227 eV per atom

Cell: 4.7704 4.7744 6.7774 Å, 45.14 90.00 90.00°
Sites, in units of the cell vectors:
Tl 0.5000 0.5000 0.0000
Tl 0.0000 0.0000 0.0000
La 0.0000 0.0000 0.5000
Ag 0.5000 0.5000 0.5000


Below is a geometry-optimized PaAlC2 structure, with properties calculated at the PBE level.

**Crystal system**: trigonal
**Space group**: R-3m (166)
**Total DFT energy (no corrections)**: -0.284 hartree per atom
**ΔE_f**: 0.204 eV per atom

Cell: 3.7865 3.7865 6.1626 Å, 72.11 72.11 60.00°
Sites, in units of the cell vectors:
C 0.8925 0.8925 0.3224
C 0.1075 0.1075 0.6776
Al 0.0000 0.0000 0.0000
Pa 0.5000 0.5000 0.5000


Below is a geometry-optimized Cs2K3Pb structure, with properties calculated at the PBE level.

**Crystal system**: monoclinic
**Space group**: C2/c (15)
**Total DFT energy (no corrections)**: -0.055 hartree per atom
**ΔE_f**: -0.045 eV per atom

Cell: 13.2509 13.2509 7.3481 Å, 62.83 62.83 47.99°
Sites, in units of the cell vectors:
K 0.0141 0.1554 0.4784
Cs 0.1604 0.4900 0.1263
Pb 0.2366 0.7634 0.7500
Pb 0.7634 0.2366 0.2500
Cs 0.8396 0.5100 0.8737
Cs 0.4900 0.1604 0.6263
K 0.5906 0.4094 0.7500
K 0.4094 0.5906 0.2500
K 0.8446 0.9859 0.0216
K 0.9859 0.8446 0.5216
K 0.1554 0.0141 0.9784
Cs 0.5100 0.8396 0.3737


Which of these has the lowest total DFT energy (no corrections)?
CrOs3


Among the records above, which one has the highest total DFT energy (no corrections)?
Cs2K3Pb


Copy entry 1 word for word.
Below is a geometry-optimized La3Sm2Tl4 structure, with properties calculated at the PBE level.

**Crystal system**: monoclinic
**Space group**: C2/m (12)
**Total DFT energy (no corrections)**: -0.149 hartree per atom
**ΔE_f**: -0.304 eV per atom
**ΔE to the lowest computed polymorph**: 0.030 eV per atom

Cell: 5.0981 6.8014 10.4393 Å, 118.59 90.00 112.01°
Sites, in units of the cell vectors:
Tl 0.3088 0.6177 0.9659
Sm 0.3528 0.7055 0.6875
Sm 0.6472 0.2945 0.3125
Tl 0.9393 0.8787 0.6009
La 0.3562 0.7123 0.3094
Tl 0.0607 0.1213 0.3991
La 0.0000 0.0000 0.0000
Tl 0.6912 0.3823 0.0341
La 0.6438 0.2877 0.6906


What is the formula in the second record?
CrOs3